1.
# LiFeOs2

A geometry-optimized LiFeOs2 structure (PBE, Alexandria via LeMat-Bulk).

Computed properties:
Its space-group type is Cmmm, No. 65. The calculation puts the formation enthalpy at 0 K at 0.2679 eV per atom. Its density of states at the Fermi level is 0.815 states/eV per atom. The offset from the most stable computed form comes out at 100 meV/atom. Its raw total energy is -7.94 eV/atom.

abc: 2.624 2.624 8.902
angles: 90.00 90.00 116.26
Fractional coordinates of all 4 atoms:
Fe 0.500 0.500 0.250
Li 0.500 0.500 0.750
Os 0.000 0.000 0.010
Os 0.000 0.000 0.490

=====

2.
# NbAg2Au

A geometry-optimized NbAg2Au structure (PBE, Alexandria via LeMat-Bulk).

Computed properties:
Its space-group type is R-3m, No. 166. The calculation puts the formation enthalpy at 0 K at 0.3073 eV per atom. Its density of states at the Fermi level is 0.493 states/eV per atom. The offset from the most stable computed form comes out at 28 meV/atom. Its raw total energy is -4.46 eV/atom.

abc: 2.860 2.860 10.700
angles: 82.32 82.32 60.00
Fractional coordinates of all 4 atoms:
Nb 0.000 0.000 0.000
Au 0.500 0.500 0.500
Ag 0.087 0.087 0.738
Ag 0.913 0.913 0.262

=====

3.
# CeHoTm2Sc4

A geometry-optimized CeHoTm2Sc4 structure (PBE, Alexandria via LeMat-Bulk).

Computed properties:
Its space-group type is P4/mmm, No. 123. The calculation puts the formation enthalpy at 0 K at 0.0625 eV per atom. Its density of states at the Fermi level is 1.846 states/eV per atom. Its raw total energy is -5.54 eV/atom.

abc: 4.874 4.868 10.393
angles: 62.09 90.00 90.00
Fractional coordinates of all 8 atoms:
Ce 0.000 0.500 0.500
Ho 0.500 0.500 0.000
Tm 0.000 0.000 0.000
Tm 0.500 0.000 0.500
Sc 0.000 0.753 0.747
Sc 0.000 0.247 0.253
Sc 0.500 0.747 0.253
Sc 0.500 0.253 0.747

=====

4.
# Ac3Ag2Pb4

A geometry-optimized Ac3Ag2Pb4 structure (PBE, Alexandria via LeMat-Bulk).

Computed properties:
Its space-group type is C2/m, No. 12. The calculation puts the formation enthalpy at 0 K at -0.4053 eV per atom. Its density of states at the Fermi level is 0.452 states/eV per atom. The offset from the most stable computed form comes out at 16 meV/atom. Its raw total energy is -4.06 eV/atom.

abc: 5.118 6.726 9.613
angles: 108.77 90.00 112.36
Fractional coordinates of all 9 atoms:
Ac 0.670 0.339 0.661
Ac 0.000 0.000 0.000
Ac 0.330 0.661 0.339
Ag 0.570 0.140 0.256
Ag 0.430 0.860 0.744
Pb 0.695 0.390 0.043
Pb 0.305 0.610 0.957
Pb 0.924 0.848 0.597
Pb 0.076 0.152 0.403

=====

- formation enthalpy at 0 K of number 1 (LiFeOs2)?
  0.2679 eV per atom

=====

- Look up the raw total energy of the third one.
  -5.54 eV/atom

=====

- Look up the raw total energy of the fourth one.
  -4.06 eV/atom

=====

Copy entry 4 word for word.
# Ac3Ag2Pb4

A geometry-optimized Ac3Ag2Pb4 structure (PBE, Alexandria via LeMat-Bulk).

Computed properties:
Its space-group type is C2/m, No. 12. The calculation puts the formation enthalpy at 0 K at -0.4053 eV per atom. Its density of states at the Fermi level is 0.452 states/eV per atom. The offset from the most stable computed form comes out at 16 meV/atom. Its raw total energy is -4.06 eV/atom.

abc: 5.118 6.726 9.613
angles: 108.77 90.00 112.36
Fractional coordinates of all 9 atoms:
Ac 0.670 0.339 0.661
Ac 0.000 0.000 0.000
Ac 0.330 0.661 0.339
Ag 0.570 0.140 0.256
Ag 0.430 0.860 0.744
Pb 0.695 0.390 0.043
Pb 0.305 0.610 0.957
Pb 0.924 0.848 0.597
Pb 0.076 0.152 0.403